Here is a relaxed structure of Li2Fe2Si2O7 from Alexandria via LeMat-Bulk. Energies are from PBE with a Hubbard U.

Computed properties:
Magnetization, μB per formula unit: 8.00
N(E_F), states/eV/cell: 0.0
Offset from the most stable computed form, eV per formula unit: 0.11
Symmetry: No. 1
E, Ry/atom: -0.50664

```
Li2Fe2Si2O7
1.0
4.936 0.000 0.000
-2.326 4.355 0.000
-0.095 -0.161 13.346
Li Fe Si O
4 4 4 14
direct
0.000 0.000 0.000
0.002 0.003 0.664
0.604 0.394 0.500
0.609 0.399 0.164
0.317 0.712 0.582
0.319 0.714 0.082
0.336 0.732 0.332
0.337 0.731 0.832
0.652 0.350 0.945
0.655 0.352 0.720
0.954 0.047 0.445
0.958 0.051 0.220
0.009 0.618 0.949
0.012 0.625 0.719
0.223 0.403 0.449
0.231 0.408 0.219
0.426 0.377 0.027
0.428 0.380 0.637
0.504 0.377 0.832
0.609 0.021 0.450
0.617 0.029 0.210
0.626 0.005 0.950
0.633 0.011 0.710
0.981 0.820 0.527
0.982 0.899 0.332
0.986 0.824 0.137
```